Record 1
{"formula": "SrTeN2F", "functional": "PBE", "state": "relaxed", "dos_ef_per_ev_atom": 0.523, "formation_energy_uncorrected_ev_per_atom": -0.36, "magmom_total_mub_per_fu": 0.32, "polymorph_energy_ev_per_fu": 0.00, "volume_a3_per_cell": 79.5, "cell": [[-3.666, -2.018, -0.195], [0.502, -1.293, 3.953], [-2.124, 3.716, 1.486]], "species": ["Sr", "N", "N", "Te", "F"], "frac_coords": [[0.500, 0.500, 0.500], [0.000, 0.500, 0.000], [0.500, 0.000, 0.000], [0.000, 0.000, 0.000], [0.000, 0.000, 0.500]]}

Record 2
{"formula": "TlReSe2", "functional": "PBE", "state": "relaxed", "dos_ef_per_ev_atom": 1.004, "formation_energy_uncorrected_ev_per_atom": 0.41, "magmom_total_mub_per_fu": 0.00, "polymorph_energy_ev_per_fu": 1.63, "volume_a3_per_cell": 91.3, "cell": [[3.299, 0.009, 0.000], [-1.775, 2.781, 0.000], [0.000, 0.000, 9.934]], "species": ["Re", "Se", "Se", "Tl"], "frac_coords": [[0.500, 0.500, 0.750], [0.000, 0.000, 0.943], [0.000, 0.000, 0.557], [0.500, 0.500, 0.250]]}